1.
{
  "formula": "DyIn2SnSe4",
  "functional": "GGA-PBE",
  "state": "optimized geometry",
  "cell": [[-2.350, -2.144, -2.686], [3.268, -6.446, 2.286], [-3.961, -2.786, 5.689]],
  "species": ["Se", "Se", "Se", "Se", "Sn", "Dy", "In", "In"],
  "fractional_positions": [[0.000, 0.263, 0.262], [0.500, 0.724, 0.273], [0.000, 0.737, 0.738], [0.500, 0.276, 0.727], [0.500, 0.500, 0.000], [0.000, 0.500, 0.500], [0.000, 0.000, 0.000], [0.500, 0.000, 0.500]],
  "magmom_total_mub_per_atom": 0.000,
  "rho_g_cm3": 6.14,
  "e_form_raw_kj_per_mol_fu": -640,
  "final_energy_ry_per_atom": -0.3184
}

---

2.
{
  "formula": "DyInSn2Se5",
  "functional": "GGA-PBE",
  "state": "optimized geometry",
  "cell": [[-2.253, -1.478, -3.088], [6.101, -7.370, 1.794], [-8.825, -5.139, 8.897]],
  "species": ["Se", "Se", "Se", "Se", "Se", "Se", "Se", "Se", "Se", "Se", "Dy", "Dy", "Sn", "Sn", "Sn", "Sn", "In", "In"],
  "fractional_positions": [[0.960, 0.920, 0.551], [0.532, 0.065, 0.275], [0.319, 0.639, 0.373], [0.656, 0.311, 0.518], [0.703, 0.406, 0.171], [0.681, 0.361, 0.873], [0.297, 0.594, 0.671], [0.040, 0.080, 0.051], [0.468, 0.935, 0.775], [0.344, 0.689, 0.018], [0.805, 0.610, 0.520], [0.195, 0.390, 0.020], [0.849, 0.698, 0.162], [0.151, 0.302, 0.662], [0.131, 0.263, 0.324], [0.869, 0.737, 0.824], [0.454, 0.908, 0.430], [0.546, 0.092, 0.930]],
  "magmom_total_mub_per_atom": 0.000,
  "rho_g_cm3": 5.72,
  "e_form_raw_kj_per_mol_fu": -731,
  "final_energy_ry_per_atom": -0.3294
}